4
Lattice="-1.380 2.283 4.329 1.380 -2.283 4.329 1.380 2.283 -4.329" Properties=species:S:1:pos:R:3 comment="LiCuPt2 | Alexandria | GGA-PBEsol | optimized geometry" space_group=Immm e_above_lowest_polymorph_ev_per_atom=0.058 dft_energy_ev_per_atom=-5.3395 pbc="T T T"
Li 0.000 0.000 0.000
Cu 0.000 0.000 4.329
Pt 1.380 0.000 2.185
Pt 0.000 2.283 2.143